Entry from Alexandria via LeMat-Bulk: a relaxed structure of Dy2Er5Tl5 (PBE).

## Properties
As for the total magnetic moment: 0.00 μB/atom. Its total energy is -46.3 eV per formula unit. For the volume, the calculation gives 28.72 A^3/atom. The calculation puts the formation energy at -19.4 kJ per mole of atoms. The density of states at the Fermi level is 10.5 states/eV/f.u.

abc: 5.008 6.575 12.041
angles: 108.35 90.00 112.39
Fractional coordinates of all 12 atoms:
Er1 0.645 0.290 0.286
Er2 0.651 0.301 0.004
Er3 0.355 0.710 0.714
Er4 0.349 0.699 0.996
Er5 0.500 0.000 0.500
Tl1 0.000 0.000 0.000
Tl2 0.153 0.306 0.470
Tl3 0.264 0.528 0.216
Tl4 0.847 0.694 0.530
Tl5 0.736 0.472 0.784
Dy1 0.928 0.857 0.236
Dy2 0.072 0.143 0.764